DFT (PBE) results for a relaxed KLa2MgNi crystal.

Calculated values
energy of formation from the pure elements	0.268	eV per formula unit
space-group type	No. 123
M_tot	0.001	μB per cell
VASP energy	-3.612	eV/atom

a = 5.5318 Å, b = 5.5318 Å, c = 5.3910 Å
α = 90.00°, β = 90.00°, γ = 90.00°
Closest atoms and distances in Å follow each position.
Fractional coordinates of all 5 atoms:
K: 0.0000 0.0000 0.0000  8 La 3.86, 4 Mg 3.91
La: 0.0000 0.5000 0.5000  2 Ni 2.77
La: 0.5000 0.0000 0.5000  2 Ni 2.77
Mg: 0.5000 0.5000 0.0000  2 Ni 2.70
Ni: 0.5000 0.5000 0.5000  2 Mg 2.70, 4 La 2.77